[1]
3
Lattice="-2.198 2.198 7.308 2.198 -2.198 7.308 2.198 2.198 -7.308" Properties=species:S:1:pos:R:3 comment="RbSmBi (GGA-PBE, relaxed)" ef_ev_per_fu=-0.96 e_tot_ev_per_atom=-3.51 mass_density_g_cm3=5.232 space_group="No. 107" pbc="T T T"
Rb 0.000 0.000 0.000
Sm 0.000 0.000 3.882
Bi 0.000 0.000 10.535



[2]
4
Lattice="-1.929 1.929 4.539 1.929 -1.929 4.539 1.929 1.929 -4.539" Properties=species:S:1:pos:R:3 comment="KFe2Os (GGA-PBE, relaxed)" ef_ev_per_fu=6.34 e_tot_ev_per_atom=-5.73 mass_density_g_cm3=8.386 space_group="No. 119" de_polymorph_ev_per_atom=0.883 pbc="T T T"
K 0.000 0.000 0.000
Fe 0.000 0.000 4.539
Fe 0.000 1.929 2.269
Os 1.929 0.000 2.269



[3]
18
Lattice="-3.773 3.773 6.834 3.773 -3.773 6.834 3.773 3.773 -6.834" Properties=species:S:1:pos:R:3 comment="RbU2RhS5 (GGA-PBE, relaxed)" raw_formation_energy_ev_per_atom=-1.15 e_tot_ev_per_atom=-6.88 mass_density_g_cm3=7.040 space_group="No. 140" pbc="T T T"
Rb 0.000 0.000 3.417
Rb 0.000 0.000 10.251
U 4.986 1.213 0.000
U 1.213 2.559 0.000
U 2.559 1.213 6.834
U -1.213 2.559 6.834
Rh 3.773 0.000 3.417
Rh 0.000 3.773 3.417
S 0.000 0.000 0.000
S 2.693 1.080 -1.656
S 2.693 -1.080 5.178
S 2.693 1.080 1.656
S 2.693 -1.080 8.490
S 0.000 0.000 6.834
S 1.080 4.852 -1.656
S 1.080 2.693 5.178
S 1.080 4.852 1.656
S 1.080 2.693 8.490



[4]
4
Lattice="0.000 3.808 3.808 3.808 0.000 3.808 3.808 3.808 0.000" Properties=species:S:1:pos:R:3 comment="BaCd2Au (GGA-PBE, relaxed)" ef_ev_per_fu=-0.92 e_tot_ev_per_atom=-1.99 mass_density_g_cm3=8.407 space_group="No. 225" pbc="T T T"
Ba 0.000 0.000 0.000
Cd 1.904 1.904 1.904
Cd 5.712 5.712 5.712
Au 3.808 3.808 3.808



[5]
10
Lattice="6.629 0.000 0.000 0.000 6.629 0.000 0.000 0.000 5.051" Properties=species:S:1:pos:R:3 comment="Ge2Te2Rh (GGA-PBE, relaxed)" raw_formation_energy_ev_per_atom=0.22 e_tot_ev_per_atom=-4.35 mass_density_g_cm3=7.531 space_group="No. 127" de_polymorph_ev_per_atom=0.000 pbc="T T T"
Ge 0.974 2.341 0.000
Ge 2.341 5.655 0.000
Ge 4.289 0.974 0.000
Ge 5.655 4.289 0.000
Te 1.331 4.646 2.526
Te 1.984 1.331 2.526
Te 4.646 5.299 2.526
Te 5.299 1.984 2.526
Rh 0.000 0.000 0.000
Rh 3.315 3.315 0.000



[6]
10
Lattice="6.141 0.000 0.000 0.000 5.002 0.000 -0.060 0.000 11.369" Properties=species:S:1:pos:R:3 comment="BaS3Br (GGA-PBE, relaxed)" raw_formation_energy_ev_per_atom=-0.95 e_tot_ev_per_atom=-4.15 mass_density_g_cm3=2.981 space_group="No. 11" de_polymorph_ev_per_atom=0.000 pbc="T T T"
Ba 1.425 1.250 3.812
Ba 4.655 3.751 7.557
S 0.380 3.751 1.806
S 1.513 1.250 10.055
S 2.663 1.250 8.418
S 3.417 3.751 2.951
S 4.568 3.751 1.315
S 5.701 1.250 9.563
Br 1.478 3.751 5.958
Br 4.602 1.250 5.411



[7]
3
Lattice="0.000 3.694 3.694 3.694 0.000 3.694 3.694 3.694 0.000" Properties=species:S:1:pos:R:3 comment="PmEuAg (GGA-PBE, relaxed)" ef_ev_per_fu=0.10 e_tot_ev_per_atom=-5.93 mass_density_g_cm3=6.668 space_group="No. 216" de_polymorph_ev_per_atom=0.174 pbc="T T T"
Pm 0.000 0.000 0.000
Eu 3.694 3.694 3.694
Ag 5.541 5.541 5.541